{
  "formula": "BaZnSbTe2",
  "functional": "GGA-PBE",
  "state": "relaxed",
  "rho_g_cm3": 5.804,
  "raw_formation_energy_ev_per_fu": -2.2,
  "sg": "P4/mmm, No. 123",
  "relative_energy_mev_per_atom": 0.0,
  "cell": [[-1.8740, -4.9397, -2.1627], [5.1407, -2.3279, 0.8625], [-1.4515, -1.4837, 4.6465]],
  "species": ["Te", "Ba", "Sb", "Zn", "Te"],
  "frac_coords": [[0.0000, 0.5000, 0.0000], [0.5000, 0.5000, 0.5000], [0.0000, 0.0000, 0.5000], [0.0000, 0.0000, 0.0000], [0.5000, 0.0000, 0.0000]]
}

***

{
  "formula": "BaZnSbTe2",
  "functional": "GGA-PBE",
  "state": "relaxed",
  "rho_g_cm3": 3.259,
  "raw_formation_energy_ev_per_fu": 2.8,
  "sg": "P4/mmm, No. 123",
  "relative_energy_mev_per_atom": 1003.6,
  "cell": [[-1.7863, -0.1927, -6.3490], [6.3325, -0.5691, -1.7644], [-0.5100, -6.7559, 0.3486]],
  "species": ["Te", "Sb", "Ba", "Te", "Zn"],
  "frac_coords": [[0.0000, 0.5000, 0.0000], [0.0000, 0.0000, 0.5000], [0.0000, 0.0000, 0.0000], [0.5000, 0.0000, 0.0000], [0.5000, 0.5000, 0.5000]]
}

***

{
  "formula": "BaZrSb2Te",
  "functional": "GGA-PBE",
  "state": "relaxed",
  "rho_g_cm3": 4.505,
  "raw_formation_energy_ev_per_fu": 5.6,
  "sg": "P4/mmm, No. 123",
  "relative_energy_mev_per_atom": 1741.6,
  "cell": [[-4.8069, -1.5946, -3.1879], [3.4096, -3.6177, -3.3315], [-1.0721, -4.6333, 3.9341]],
  "species": ["Ba", "Sb", "Zr", "Sb", "Te"],
  "frac_coords": [[0.0000, 0.0000, 0.0000], [0.5000, 0.0000, 0.0000], [0.5000, 0.5000, 0.5000], [0.0000, 0.5000, 0.0000], [0.0000, 0.0000, 0.5000]]
}

***

Number 1: raw total energy -3.15 eV/atom, V 33.2 Å³ per atom. Number 2: raw total energy -2.15 eV/atom, V 59.1 Å³ per atom. Number 3: raw total energy -3.26 eV/atom, V 44.2 Å³ per atom.